# 1
VASP calculation (PBE-GGA) on crystalline CdAgBi2 at its relaxed geometry.

## Properties
Raw total energy   -10.786 eV per cell
Size of the total moment   0.0 μB per cell
SG   R-3m (166)

Cell lengths 11.2912, 11.2912, 11.2912 Å; angles 17.41, 17.41, 17.41 degrees
Element x y z (fractional)
Cd (0.0000, 0.0000, 0.0000)
Ag (0.5000, 0.5000, 0.5000)
Bi (0.4132, 0.4132, 0.4132)
Bi (0.5868, 0.5868, 0.5868)


# 2
VASP calculation (PBE-GGA) on crystalline Cd3AgBi at its relaxed geometry.

## Properties
Raw total energy   -7.872 eV per cell
Excess energy over the best structure of this formula in the dataset   200 meV per atom
Size of the total moment   0.0 μB per cell
SG   Pm-3m (221)

Cell lengths 5.2430, 5.2430, 5.2430 Å; angles 90.00, 90.00, 90.00 degrees
Element x y z (fractional)
Cd (0.0000, 0.0000, 0.5000)
Cd (0.0000, 0.5000, 0.0000)
Cd (0.5000, 0.0000, 0.0000)
Ag (0.0000, 0.0000, 0.0000)
Bi (0.5000, 0.5000, 0.5000)


# 3
VASP calculation (PBE-GGA) on crystalline Cd2AgBi at its relaxed geometry.

## Properties
Raw total energy   -7.661 eV per cell
Size of the total moment   0.0 μB per cell
SG   R-3m (166)

Cell lengths 11.3094, 11.3094, 11.3094 Å; angles 16.78, 16.78, 16.78 degrees
Element x y z (fractional)
Cd (0.0825, 0.0825, 0.0825)
Cd (0.9175, 0.9175, 0.9175)
Ag (0.0000, 0.0000, 0.0000)
Bi (0.5000, 0.5000, 0.5000)


# 4
VASP calculation (PBE-GGA) on crystalline CdAgBi2 at its relaxed geometry.

## Properties
Raw total energy   -11.146 eV per cell
Size of the total moment   0.0 μB per cell
SG   P4/mmm (123)

Cell lengths 3.3428, 3.3428, 9.5750 Å; angles 90.00, 90.00, 90.00 degrees
Element x y z (fractional)
Cd (0.0000, 0.0000, 0.0000)
Ag (0.0000, 0.0000, 0.5000)
Bi (0.5000, 0.5000, 0.2751)
Bi (0.5000, 0.5000, 0.7249)


# 5
VASP calculation (PBE-GGA) on crystalline CdAg2Bi2 at its relaxed geometry.

## Properties
Raw total energy   -27.744 eV per cell
Excess energy over the best structure of this formula in the dataset   0 meV per atom
Size of the total moment   0.0 μB per cell
SG   P4/mbm (127)

Cell lengths 7.4826, 7.4826, 4.4414 Å; angles 90.00, 90.00, 90.00 degrees
Element x y z (fractional)
Cd (0.0000, 0.0000, 0.0000)
Cd (0.5000, 0.5000, 0.0000)
Ag (0.1343, 0.3657, 0.0000)
Ag (0.3657, 0.8657, 0.0000)
Ag (0.6343, 0.1343, 0.0000)
Ag (0.8657, 0.6343, 0.0000)
Bi (0.1671, 0.6671, 0.5000)
Bi (0.3329, 0.1671, 0.5000)
Bi (0.6671, 0.8329, 0.5000)
Bi (0.8329, 0.3329, 0.5000)


# 6
VASP calculation (PBE-GGA) on crystalline Cd4AgBi at its relaxed geometry.

## Properties
Raw total energy   -20.363 eV per cell
Excess energy over the best structure of this formula in the dataset   0 meV per atom
Size of the total moment   0.0 μB per cell
SG   C2/m (12)

Cell lengths 7.9146, 7.9146, 5.9842 Å; angles 108.75, 108.75, 57.00 degrees
Element x y z (fractional)
Cd (0.0860, 0.6855, 0.4282)
Cd (0.1883, 0.8117, 0.0000)
Cd (0.3144, 0.3144, 0.7799)
Cd (0.3145, 0.9140, 0.5718)
Cd (0.6855, 0.0860, 0.4282)
Cd (0.6856, 0.6856, 0.2201)
Cd (0.8117, 0.1883, 0.0000)
Cd (0.9140, 0.3145, 0.5718)
Ag (0.4819, 0.4819, 0.2493)
Ag (0.5181, 0.5181, 0.7507)
Bi (0.2262, 0.2262, 0.1965)
Bi (0.7738, 0.7738, 0.8035)


# 7
VASP calculation (PBE-GGA) on crystalline Cd4Ag5Bi at its relaxed geometry.

## Properties
Raw total energy   -21.923 eV per cell
Size of the total moment   0.0 μB per cell
SG   P4/mmm (123)

Cell lengths 3.4245, 3.4245, 17.4834 Å; angles 90.00, 90.00, 90.00 degrees
Element x y z (fractional)
Cd (0.0000, 0.0000, 0.0946)
Cd (0.0000, 0.0000, 0.2838)
Cd (0.0000, 0.0000, 0.7162)
Cd (0.0000, 0.0000, 0.9054)
Ag (0.5000, 0.5000, 0.0000)
Ag (0.5000, 0.5000, 0.1893)
Ag (0.5000, 0.5000, 0.3772)
Ag (0.5000, 0.5000, 0.6228)
Ag (0.5000, 0.5000, 0.8107)
Bi (0.0000, 0.0000, 0.5000)


# 8
VASP calculation (PBE-GGA) on crystalline Cd2AgBi2 at its relaxed geometry.

## Properties
Raw total energy   -11.438 eV per cell
Excess energy over the best structure of this formula in the dataset   48 meV per atom
Size of the total moment   0.0 μB per cell
SG   I4/mmm (139)

Cell lengths 8.7267, 8.7267, 8.7267 Å; angles 152.89, 152.89, 38.71 degrees
Element x y z (fractional)
Cd (0.2500, 0.7500, 0.5000)
Cd (0.7500, 0.2500, 0.5000)
Ag (0.0000, 0.0000, 0.0000)
Bi (0.3997, 0.3997, 0.0000)
Bi (0.6003, 0.6003, 0.0000)


# 9
VASP calculation (PBE-GGA) on crystalline CdAg2Bi2 at its relaxed geometry.

## Properties
Raw total energy   -13.671 eV per cell
Excess energy over the best structure of this formula in the dataset   40 meV per atom
Size of the total moment   0.0 μB per cell
SG   I4/mmm (139)

Cell lengths 9.0698, 9.0698, 9.0698 Å; angles 155.26, 155.26, 35.28 degrees
Element x y z (fractional)
Cd (0.0000, 0.0000, 0.0000)
Ag (0.2500, 0.7500, 0.5000)
Ag (0.7500, 0.2500, 0.5000)
Bi (0.3892, 0.3892, 0.0000)
Bi (0.6108, 0.6108, 0.0000)


# 10
VASP calculation (PBE-GGA) on crystalline Cd6Ag8Bi at its relaxed geometry.

## Properties
Raw total energy   -31.460 eV per cell
Size of the total moment   0.0 μB per cell
SG   R-3 (148)

Cell lengths 7.6914, 7.6914, 7.6914 Å; angles 59.77, 59.77, 59.77 degrees
Element x y z (fractional)
Cd (0.1451, 0.6036, 0.4297)
Cd (0.3964, 0.5703, 0.8549)
Cd (0.4297, 0.1451, 0.6036)
Cd (0.5703, 0.8549, 0.3964)
Cd (0.6036, 0.4297, 0.1451)
Cd (0.8549, 0.3964, 0.5703)
Ag (0.1107, 0.8568, 0.6379)
Ag (0.1432, 0.3621, 0.8893)
Ag (0.2567, 0.2567, 0.2567)
Ag (0.3621, 0.8893, 0.1432)
Ag (0.6379, 0.1107, 0.8568)
Ag (0.7433, 0.7433, 0.7433)
Ag (0.8568, 0.6379, 0.1107)
Ag (0.8893, 0.1432, 0.3621)
Bi (0.0000, 0.0000, 0.0000)


# 11
VASP calculation (PBE-GGA) on crystalline Cd8Ag4Bi at its relaxed geometry.

## Properties
Raw total energy   -22.838 eV per cell
Size of the total moment   0.0 μB per cell
SG   I4/mmm (139)

Cell lengths 7.5836, 7.5836, 7.5836 Å; angles 98.26, 98.26, 135.46 degrees
Element x y z (fractional)
Cd (0.0000, 0.2178, 0.2178)
Cd (0.0000, 0.7822, 0.7822)
Cd (0.1535, 0.5000, 0.6535)
Cd (0.2178, 0.0000, 0.2178)
Cd (0.5000, 0.1535, 0.6535)
Cd (0.5000, 0.8465, 0.3465)
Cd (0.7822, 0.0000, 0.7822)
Cd (0.8465, 0.5000, 0.3465)
Ag (0.0000, 0.0000, 0.5000)
Ag (0.0000, 0.5000, 0.0000)
Ag (0.5000, 0.0000, 0.0000)
Ag (0.5000, 0.5000, 0.5000)
Bi (0.5000, 0.5000, 0.0000)


# 12
VASP calculation (PBE-GGA) on crystalline Cd2AgBi2 at its relaxed geometry.

## Properties
Raw total energy   -23.358 eV per cell
Excess energy over the best structure of this formula in the dataset   0 meV per atom
Size of the total moment   0.0 μB per cell
SG   P4/mbm (127)

Cell lengths 7.4374, 7.4374, 4.8039 Å; angles 90.00, 90.00, 90.00 degrees
Element x y z (fractional)
Cd (0.1441, 0.3559, 0.0000)
Cd (0.3559, 0.8559, 0.0000)
Cd (0.6441, 0.1441, 0.0000)
Cd (0.8559, 0.6441, 0.0000)
Ag (0.0000, 0.0000, 0.0000)
Ag (0.5000, 0.5000, 0.0000)
Bi (0.1621, 0.6621, 0.5000)
Bi (0.3379, 0.1621, 0.5000)
Bi (0.6621, 0.8379, 0.5000)
Bi (0.8379, 0.3379, 0.5000)


# 13
VASP calculation (PBE-GGA) on crystalline Cd3AgBi at its relaxed geometry.

## Properties
Raw total energy   -17.746 eV per cell
Excess energy over the best structure of this formula in the dataset   0 meV per atom
Size of the total moment   0.0 μB per cell
SG   P6_3/mmc (194)

Cell lengths 7.0406, 7.0406, 5.9118 Å; angles 90.00, 90.00, 120.00 degrees
Element x y z (fractional)
Cd (0.1954, 0.3907, 0.2500)
Cd (0.1954, 0.8046, 0.2500)
Cd (0.3907, 0.1954, 0.7500)
Cd (0.6093, 0.8046, 0.2500)
Cd (0.8046, 0.1954, 0.7500)
Cd (0.8046, 0.6093, 0.7500)
Ag (0.0000, 0.0000, 0.0000)
Ag (0.0000, 0.0000, 0.5000)
Bi (0.3333, 0.6667, 0.7500)
Bi (0.6667, 0.3333, 0.2500)


# 14
VASP calculation (PBE-GGA) on crystalline CdAg2Bi2 at its relaxed geometry.

## Properties
Raw total energy   -27.128 eV per cell
Excess energy over the best structure of this formula in the dataset   62 meV per atom
Size of the total moment   0.0 μB per cell
SG   P4/mbm (127)

Cell lengths 8.6890, 8.6890, 3.4689 Å; angles 90.00, 90.00, 90.00 degrees
Element x y z (fractional)
Cd (0.0000, 0.0000, 0.0000)
Cd (0.5000, 0.5000, 0.0000)
Ag (0.1170, 0.3830, 0.5000)
Ag (0.3830, 0.8830, 0.5000)
Ag (0.6170, 0.1170, 0.5000)
Ag (0.8830, 0.6170, 0.5000)
Bi (0.1806, 0.6806, 0.0000)
Bi (0.3194, 0.1806, 0.0000)
Bi (0.6806, 0.8194, 0.0000)
Bi (0.8194, 0.3194, 0.0000)


# 15
VASP calculation (PBE-GGA) on crystalline CdAg3Bi at its relaxed geometry.

## Properties
Raw total energy   -24.548 eV per cell
Excess energy over the best structure of this formula in the dataset   0 meV per atom
Size of the total moment   0.0 μB per cell
SG   P6_3/mmc (194)

Cell lengths 6.9353, 6.9353, 5.5906 Å; angles 90.00, 90.00, 120.00 degrees
Element x y z (fractional)
Cd (0.0000, 0.0000, 0.0000)
Cd (0.0000, 0.0000, 0.5000)
Ag (0.2001, 0.4001, 0.2500)
Ag (0.2001, 0.7999, 0.2500)
Ag (0.4001, 0.2001, 0.7500)
Ag (0.5999, 0.7999, 0.2500)
Ag (0.7999, 0.2001, 0.7500)
Ag (0.7999, 0.5999, 0.7500)
Bi (0.3333, 0.6667, 0.7500)
Bi (0.6667, 0.3333, 0.2500)


# 16
VASP calculation (PBE-GGA) on crystalline CdAg5Bi at its relaxed geometry.

## Properties
Raw total energy   -18.493 eV per cell
Size of the total moment   0.0 μB per cell
SG   P4/mmm (123)

Cell lengths 4.2332, 4.2332, 8.3942 Å; angles 90.00, 90.00, 90.00 degrees
Element x y z (fractional)
Cd (0.0000, 0.0000, 0.0000)
Ag (0.0000, 0.5000, 0.2455)
Ag (0.0000, 0.5000, 0.7545)
Ag (0.5000, 0.0000, 0.2455)
Ag (0.5000, 0.0000, 0.7545)
Ag (0.5000, 0.5000, 0.0000)
Bi (0.5000, 0.5000, 0.5000)


# 17
VASP calculation (PBE-GGA) on crystalline Cd2Ag2Bi at its relaxed geometry.

## Properties
Raw total energy   -10.922 eV per cell
Excess energy over the best structure of this formula in the dataset   66 meV per atom
Size of the total moment   0.0 μB per cell
SG   I4/mmm (139)

Cell lengths 7.9791, 7.9791, 7.9791 Å; angles 150.96, 150.96, 41.53 degrees
Element x y z (fractional)
Cd (0.1070, 0.1070, 0.0000)
Cd (0.8930, 0.8930, 0.0000)
Ag (0.2500, 0.7500, 0.5000)
Ag (0.7500, 0.2500, 0.5000)
Bi (0.5000, 0.5000, 0.0000)


# 18
VASP calculation (PBE-GGA) on crystalline Cd4AgBi at its relaxed geometry.

## Properties
Raw total energy   -9.657 eV per cell
Excess energy over the best structure of this formula in the dataset   87 meV per atom
Size of the total moment   0.0 μB per cell
SG   F-43m (216)

Cell lengths 5.8719, 5.8719, 5.8719 Å; angles 60.00, 60.00, 60.00 degrees
Element x y z (fractional)
Cd (0.1244, 0.1244, 0.1244)
Cd (0.1244, 0.1244, 0.6267)
Cd (0.1244, 0.6267, 0.1244)
Cd (0.6267, 0.1244, 0.1244)
Ag (0.7500, 0.7500, 0.7500)
Bi (0.5000, 0.5000, 0.5000)


# 19
VASP calculation (PBE-GGA) on crystalline CdAgBi2 at its relaxed geometry.

## Properties
Raw total energy   -21.972 eV per cell
Size of the total moment   0.0 μB per cell
SG   I-42d (122)

Cell lengths 7.1911, 7.1911, 7.1911 Å; angles 98.37, 98.37, 135.14 degrees
Element x y z (fractional)
Cd (0.0000, 0.0000, 0.0000)
Cd (0.7500, 0.2500, 0.5000)
Ag (0.2500, 0.7500, 0.5000)
Ag (0.5000, 0.5000, 0.0000)
Bi (0.2128, 0.6250, 0.0878)
Bi (0.3750, 0.4628, 0.5878)
Bi (0.5372, 0.1250, 0.9122)
Bi (0.8750, 0.7872, 0.4122)


# 20
VASP calculation (PBE-GGA) on crystalline Cd2AgBi at its relaxed geometry.

## Properties
Raw total energy   -8.310 eV per cell
Size of the total moment   0.0 μB per cell
SG   Cm (8)

Cell lengths 4.9014, 4.9014, 6.2313 Å; angles 118.79, 118.79, 54.95 degrees
Element x y z (fractional)
Cd (0.0000, 0.0000, 0.0000)
Cd (0.2314, 0.2314, 0.6307)
Ag (0.6023, 0.6023, 0.7738)
Bi (0.8108, 0.8108, 0.3436)


# 21
VASP calculation (PBE-GGA) on crystalline Cd6Ag5Bi at its relaxed geometry.

## Properties
Raw total energy   -23.527 eV per cell
Size of the total moment   0.0 μB per cell
SG   C2/m (12)

Cell lengths 8.4227, 8.4227, 4.0990 Å; angles 103.83, 103.83, 108.92 degrees
Element x y z (fractional)
Cd (0.0720, 0.4115, 0.7392)
Cd (0.2249, 0.2249, 0.2235)
Cd (0.4115, 0.0720, 0.7392)
Cd (0.5885, 0.9280, 0.2608)
Cd (0.7751, 0.7751, 0.7765)
Cd (0.9280, 0.5885, 0.2608)
Ag (0.0000, 0.0000, 0.5000)
Ag (0.1678, 0.8322, 0.0000)
Ag (0.3240, 0.6760, 0.5000)
Ag (0.6760, 0.3240, 0.5000)
Ag (0.8322, 0.1678, 0.0000)
Bi (0.5000, 0.5000, 0.0000)


# 22
VASP calculation (PBE-GGA) on crystalline Cd3Ag7Bi at its relaxed geometry.

## Properties
Raw total energy   -25.121 eV per cell
Size of the total moment   0.0 μB per cell
SG   C2/m (12)

Cell lengths 6.9495, 6.9495, 5.5033 Å; angles 106.74, 106.74, 90.92 degrees
Element x y z (fractional)
Cd (0.0000, 0.0000, 0.0000)
Cd (0.2082, 0.7918, 0.5000)
Cd (0.7918, 0.2082, 0.5000)
Ag (0.0534, 0.5794, 0.8094)
Ag (0.2114, 0.2114, 0.5331)
Ag (0.4206, 0.9466, 0.1906)
Ag (0.5000, 0.5000, 0.5000)
Ag (0.5794, 0.0534, 0.8094)
Ag (0.7886, 0.7886, 0.4669)
Ag (0.9466, 0.4206, 0.1906)
Bi (0.5000, 0.5000, 0.0000)


# 23
VASP calculation (PBE-GGA) on crystalline Cd2Ag10Bi at its relaxed geometry.

## Properties
Raw total energy   -33.267 eV per cell
Size of the total moment   0.0 μB per cell
SG   Fmmm (69)

Cell lengths 9.6764, 7.4191, 7.3565 Å; angles 81.82, 49.37, 48.81 degrees
Element x y z (fractional)
Cd (0.0000, 0.0000, 0.5000)
Cd (0.5000, 0.5000, 0.0000)
Ag (0.0000, 0.5000, 0.0000)
Ag (0.0011, 0.2151, 0.7849)
Ag (0.1458, 0.4962, 0.5038)
Ag (0.2151, 0.0011, 0.9989)
Ag (0.4962, 0.1458, 0.8542)
Ag (0.5000, 0.0000, 0.5000)
Ag (0.5038, 0.8542, 0.1458)
Ag (0.7849, 0.9989, 0.0011)
Ag (0.8542, 0.5038, 0.4962)
Ag (0.9989, 0.7849, 0.2151)
Bi (0.5000, 0.5000, 0.5000)


# 24
VASP calculation (PBE-GGA) on crystalline CdAgBi2 at its relaxed geometry.

## Properties
Raw total energy   -11.157 eV per cell
Size of the total moment   0.0 μB per cell
SG   Cm (8)

Cell lengths 4.7430, 4.7430, 6.5507 Å; angles 111.26, 111.26, 59.96 degrees
Element x y z (fractional)
Cd (0.0000, 0.0000, 0.0000)
Ag (0.1666, 0.1666, 0.5008)
Bi (0.5800, 0.5800, 0.7329)
Bi (0.7605, 0.7605, 0.2860)


ΔH_f (0 K) (computed, meV/atom): 185.5; 321.1; 225.3; 95.5; 101.5; 35.2; -12.5; 201.0; 141.7; 48.1; -17.7; 152.9; 120.9; 163.1; 215.1; 79.9; 98.4; 122.7; 135.6; 63.0; 8.4; 133.1; 73.6; 92.8